Record 1
# Rb5ZrS5 PBE optimized geometry
data_Rb5ZrS5
_chemical_formula_sum 'Rb10 Zr2 S10'
_cell_length_a 14.978
_cell_length_b 6.152
_cell_length_c 8.870
_cell_angle_alpha 90.00
_cell_angle_beta 109.17
_cell_angle_gamma 90.00
_space_group_name_H-M_alt 'C 1 2/m 1'
_space_group_IT_number 12
loop_
_space_group_symop_operation_xyz
'x,y,z'
'-x,-y,-z'
'-x,y,-z'
'x,-y,z'
'x+1/2,y+1/2,z'
'-x+1/2,-y+1/2,-z'
'-x+1/2,y+1/2,-z'
'x+1/2,-y+1/2,z'
loop_
_atom_site_label
_atom_site_type_symbol
_atom_site_fract_x
_atom_site_fract_y
_atom_site_fract_z
Rb1 Rb 0.000 0.000 0.000
Rb2 Rb 0.173 0.500 0.346
Rb3 Rb 0.195 0.500 0.804
Zr1 Zr 0.000 0.000 0.500
S1 S 0.000 0.500 0.500
S2 S 0.125 0.000 0.364
S3 S 0.131 0.000 0.774
# Density   2.920 g/cm3
# Volume   35.09 Å³/atom

---

Record 2
# Rb14Zr2S9 PBE optimized geometry
data_Rb14Zr2S9
_chemical_formula_sum 'Rb14 Zr2 S9'
_cell_length_a 9.5591
_cell_length_b 9.5591
_cell_length_c 13.0250
_cell_angle_alpha 90.00
_cell_angle_beta 90.00
_cell_angle_gamma 120.00
_space_group_name_H-M_alt 'P -3'
_space_group_IT_number 147
loop_
_space_group_symop_operation_xyz
'x,y,z'
'-x,-y,-z'
'-y,x-y,z'
'y,-x+y,-z'
'-x+y,-x,z'
'x-y,x,-z'
loop_
_atom_site_label
_atom_site_type_symbol
_atom_site_fract_x
_atom_site_fract_y
_atom_site_fract_z
Rb1 Rb 0.0000 0.0000 0.2455
Rb2 Rb 0.0470 0.6786 0.4071
Rb3 Rb 0.0893 0.3921 0.0975
Zr1 Zr 0.3333 0.6667 0.7705
S1 S 0.0000 0.0000 0.5000
S2 S 0.1138 0.4074 0.8331
S3 S 0.3333 0.6667 0.5822
# Density   2.687 g/cm3
# Volume   41.23 Å³/atom

---

Record 3
# Rb3ZrS PBE optimized geometry
data_Rb3ZrS
_chemical_formula_sum 'Rb3 Zr1 S1'
_cell_length_a 6.461
_cell_length_b 6.461
_cell_length_c 6.461
_cell_angle_alpha 90.00
_cell_angle_beta 90.00
_cell_angle_gamma 90.00
_space_group_name_H-M_alt 'P m -3 m'
_space_group_IT_number 221
_space_group_name_Hall '-P 4 2 3'
loop_
_atom_site_label
_atom_site_type_symbol
_atom_site_fract_x
_atom_site_fract_y
_atom_site_fract_z
Rb1 Rb 0.000 0.000 0.500
Zr1 Zr 0.500 0.500 0.500
S1 S 0.000 0.000 0.000
# Density   2.338 g/cm3
# Excess energy over the best structure of this formula in the dataset   0 meV per atom
# Volume   53.94 Å³/atom

---

Across the entries above, raw formation energy takes the values -1.051, -1.028, 0.402 eV per atom, respectively.